# 1
Below is a relaxed ScCdRh2 crystal, with properties calculated at the PBE level.

Properties
- total energy (eV/atom) = -5.861
- space group = C2/m, No. 12

```
ScCdRh2
1.0
4.712 -0.010 0.020
3.709 2.906 0.020
1.171 0.403 4.975
Rh Sc Cd
2 1 1
direct
0.494 0.494 0.505
0.006 0.006 0.995
0.750 0.750 0.750
0.250 0.250 0.250
```

---

# 2
Below is a relaxed Li2SnPd3 crystal, with properties calculated at the PBE level.

Properties
- total energy (eV/atom) = -4.449
- space group = Cmmm, No. 65
- energy relative to the lowest polymorph listed for this composition (kJ/mol of formula units) = 0

```
Li2SnPd3
1.0
-0.864 3.015 1.548
-0.679 1.752 -3.792
-5.591 -2.690 2.120
Li Pd Sn
2 3 1
direct
0.000 0.669 0.339
0.000 0.331 0.661
0.500 0.170 0.341
0.500 0.830 0.659
0.500 0.500 0.000
0.000 0.000 0.000
```

---

# 3
Below is a relaxed TiNbBi3 crystal, with properties calculated at the PBE level.

Properties
- total energy (eV/atom) = -5.074
- space group = Pm-3m, No. 221
- energy relative to the lowest polymorph listed for this composition (kJ/mol of formula units) = 0

```
TiNbBi3
1.0
-0.297 -0.916 5.407
3.377 -4.296 -0.543
4.321 3.296 0.796
Bi Ti Nb
3 1 1
direct
0.000 0.500 0.000
0.500 0.000 0.000
0.000 0.000 0.500
0.500 0.500 0.500
0.000 0.000 0.000
```

---

# 4
Below is a relaxed Sc2ZnBC crystal, with properties calculated at the PBE level.

Properties
- total energy (eV/atom) = -4.718
- space group = P4/mmm, No. 123

```
Sc2ZnBC
1.0
4.896 0.000 0.000
0.000 3.630 0.000
0.000 0.000 4.896
Zn C Sc B
1 1 2 1
direct
0.000 0.000 0.000
0.500 0.500 0.500
0.000 0.000 0.500
0.500 0.000 0.000
0.000 0.500 0.000
```

---

# 5
Below is a relaxed Ti2Be4Nb2Ge crystal, with properties calculated at the PBE level.

Properties
- total energy (eV/atom) = -5.937
- space group = I4/mmm, No. 139

```
Ti2Be4Nb2Ge
1.0
-1.747 -5.496 0.835
1.598 2.149 -5.176
5.181 2.054 1.702
Nb Be Ti Ge
2 4 2 1
direct
0.000 0.279 0.279
0.000 0.721 0.721
0.000 0.711 0.289
0.577 0.289 0.289
0.000 0.289 0.711
0.423 0.711 0.711
0.500 0.250 0.750
0.500 0.750 0.250
0.000 0.000 0.000
```

---

# 6
Below is a relaxed Th2ZnTcC crystal, with properties calculated at the PBE level.

Properties
- total energy (eV/atom) = -7.253
- space group = P2_1/m, No. 11

```
Th2ZnTcC
1.0
-3.525 1.664 1.415
-3.045 -5.859 -0.693
3.485 0.879 7.650
Zn C Tc Th
2 2 2 4
direct
0.250 0.724 0.305
0.750 0.276 0.695
0.750 0.174 0.172
0.250 0.826 0.828
0.750 0.498 0.263
0.250 0.502 0.737
0.250 0.222 0.972
0.250 0.226 0.381
0.750 0.774 0.619
0.750 0.778 0.028
```

---

# 7
Below is a relaxed K2TiB2 crystal, with properties calculated at the PBE level.

Properties
- total energy (eV/atom) = -3.581
- space group = I4/mmm, No. 139
- energy relative to the lowest polymorph listed for this composition (kJ/mol of formula units) = 0

```
K2TiB2
1.0
-0.564 -2.590 2.720
2.806 -2.119 -1.436
5.341 0.681 4.408
K Ti B
2 1 2
direct
0.250 0.750 0.500
0.750 0.250 0.500
0.000 0.000 0.000
0.439 0.439 0.122
0.561 0.561 0.878
```

---

# 8
Below is a relaxed Sb2TePb crystal, with properties calculated at the PBE level.

Properties
- uncorrected formation energy (eV per atom) = 0.204
- total energy (eV/atom) = -3.569
- space group = Cmmm, No. 65
- energy relative to the lowest polymorph listed for this composition (kJ/mol of formula units) = 134

```
Sb2TePb
1.0
-1.906 -2.654 0.463
2.533 -0.767 -1.972
6.104 -2.825 8.943
Pb Sb Te
1 2 1
direct
0.500 0.500 0.750
0.000 0.000 0.499
0.000 0.000 0.001
0.500 0.500 0.250
```

---

# 9
Below is a relaxed ReNiW2 crystal, with properties calculated at the PBE level.

Properties
- total energy (eV/atom) = -10.851
- space group = P4/mmm, No. 123
- energy relative to the lowest polymorph listed for this composition (kJ/mol of formula units) = 49

```
ReNiW2
1.0
-2.018 1.376 1.293
-1.329 -2.380 0.458
3.731 -0.800 6.674
W Re Ni
2 1 1
direct
0.000 0.000 0.010
0.000 0.000 0.490
0.500 0.500 0.750
0.500 0.500 0.250
```

---

# 10
Below is a relaxed Nd5GaTe3 crystal, with properties calculated at the PBE level.

Properties
- uncorrected formation energy (eV per atom) = -1.057
- total energy (eV/atom) = -5.089
- space group = P6_3/mcm, No. 193

```
Nd5GaTe3
1.0
-2.895 -4.580 -3.566
5.702 -6.583 3.827
-8.326 2.056 4.117
Nd Ga Te
10 2 6
direct
0.750 0.264 0.264
0.750 0.736 0.000
0.500 0.333 0.667
0.250 0.000 0.264
0.750 0.000 0.736
0.250 0.264 0.000
0.250 0.736 0.736
0.500 0.667 0.333
0.000 0.667 0.333
0.000 0.333 0.667
0.500 0.000 0.000
0.000 0.000 0.000
0.250 0.000 0.612
0.250 0.612 0.000
0.750 0.612 0.612
0.250 0.388 0.388
0.750 0.000 0.388
0.750 0.388 0.000
```

---

# 11
Below is a relaxed Cr2InWBr crystal, with properties calculated at the PBE level.

Properties
- uncorrected formation energy (eV per atom) = 1.155
- total energy (eV/atom) = -6.167
- space group = P4/mmm, No. 123

```
Cr2InWBr
1.0
-0.533 3.674 3.030
0.172 -3.493 4.265
4.760 0.507 0.223
Cr Br In W
2 1 1 1
direct
0.000 0.000 0.500
0.500 0.000 0.000
0.500 0.500 0.500
0.000 0.500 0.000
0.000 0.000 0.000
```

---

# 12
Below is a relaxed Rb3YRu crystal, with properties calculated at the PBE level.

Properties
- total energy (eV/atom) = -1.590
- space group = Pm-3m, No. 221
- energy relative to the lowest polymorph listed for this composition (kJ/mol of formula units) = 369

```
Rb3YRu
1.0
7.013 0.000 0.000
0.000 7.013 0.000
0.000 0.000 7.013
Rb Y Ru
3 1 1
direct
0.500 0.000 0.000
0.000 0.500 0.000
0.000 0.000 0.500
0.000 0.000 0.000
0.500 0.500 0.500
```

---

Among the records above, which one has the lowest total energy? ReNiW2